LiCaH6Ir | GGA-PBE | relaxed

It has space group P312 (No. 149), with a = 4.7519 Å, b = 4.7519 Å, c = 4.5556 Å, α = 90.00°, β = 90.00° and γ = 120.00°. The asymmetric unit holds Li at (0.0000, 0.0000, 0.0000), Ca at (0.6667, 0.3333, 0.5000), H at (0.0696, 0.3734, 0.2214) and Ir at (0.3333, 0.6667, 0.0000).

The total energy comes out at -37.027 eV/cell. Its density is 4.6 g/cm³. The magnetization is 0.00 μB per formula unit.